Entry 1:
The following is a GGA-PBE calculation of Al2As2I after structural relaxation, from the Alexandria database.

Calculated values
Calculated volume   22.187 Å³/atom
Size of the total moment   0.000 μB per cell
Uncorrected formation energy   -0.149 eV/atom
SG   No. 139

Cell: 4.9470 4.9470 5.7257 Å, 64.41 64.41 90.00°
Sites, in units of the cell vectors:
I 0.0000 0.0000 0.0000
As 0.3606 0.3606 0.2789
As 0.6394 0.6394 0.7211
Al 0.7500 0.2500 0.5000
Al 0.2500 0.7500 0.5000



Entry 2:
The following is a GGA-PBE calculation of SbTe2Pt after structural relaxation, from the Alexandria database.

Calculated values
Calculated volume   26.404 Å³/atom
Size of the total moment   0.000 μB per cell
Uncorrected formation energy   -0.035 eV/atom
SG   No. 44

Cell: 6.6365 6.6365 6.6365 Å, 147.26 137.74 54.46°
Sites, in units of the cell vectors:
Pt 0.5013 0.5013 0.0000
Sb 0.3297 0.8297 0.5000
Te 0.9925 0.9925 0.0000
Te 0.6765 0.1765 0.5000



Entry 3:
The following is a GGA-PBE calculation of PmNdB after structural relaxation, from the Alexandria database.

Calculated values
Calculated volume   24.643 Å³/atom
Size of the total moment   0.000 μB per cell
E_form   -0.01 eV per atom
SG   No. 1

Cell: 5.5727 4.0244 7.1556 Å, 71.88 99.36 82.88°
Sites, in units of the cell vectors:
B 0.9228 0.9170 0.7409
B 0.6840 0.2423 0.6840
Nd 0.6098 0.9240 0.4004
Nd 0.4617 0.7229 0.8948
Pm 0.9952 0.2361 0.0209
Pm 0.1447 0.4336 0.5310



Entry 4:
The following is a GGA-PBE calculation of AlIn2Fe after structural relaxation, from the Alexandria database.

Calculated values
Calculated volume   18.915 Å³/atom
Size of the total moment   0.001 μB per cell
E_form   0.13 eV per atom
SG   No. 99

Cell: 2.9981 2.9981 8.4170 Å, 90.00 90.00 90.00°
Sites, in units of the cell vectors:
Al 0.0000 0.0000 0.5735
Fe 0.5000 0.5000 0.7209
In 0.0000 0.0000 0.9292
In 0.5000 0.5000 0.2764